{
  "formula": "Zn2AgOs",
  "functional": "PBE-GGA",
  "state": "optimized geometry",
  "e_above_lowest_polymorph_mev_per_atom": 550,
  "dos_ef_per_ev_atom": 0.482,
  "e_form_mev_per_atom": 662.2,
  "lattice_angstrom": [[-3.4270, 1.4401, 1.1842], [1.0931, -0.4557, 3.7173], [2.2743, 8.6878, 2.4434]],
  "species": ["Ag", "Ag", "Zn", "Zn", "Zn", "Zn", "Os", "Os"],
  "frac_coords": [[0.2500, 0.7500, 0.5000], [0.5000, 0.5000, 0.0000], [0.0977, 0.6250, 0.2500], [0.3750, 0.3477, 0.7500], [0.6523, 0.1250, 0.2500], [0.8750, 0.9023, 0.7500], [0.0000, 0.0000, 0.0000], [0.7500, 0.2500, 0.5000]]
}